Entry from Alexandria: a relaxed LiDyEr2S4 crystal (PBE).

Unit cell a=6.683 b=3.851 c=6.684 alpha=90.00 beta=109.36 gamma=90.00
Space group P2/m (No. 10)
One atom of each set of equivalent atoms:
Li 0.000 0.000 0.000 (multiplicity 1)
Dy 0.000 0.500 0.500 (multiplicity 1)
Er 0.500 0.000 0.500 (multiplicity 1)
Er 0.500 0.500 0.000 (multiplicity 1)
S 0.248 0.500 0.245 (multiplicity 2)
S 0.249 0.000 0.756 (multiplicity 2)

Output
VASP energy: -5.95 eV/atom
ΔE_f (raw): -1.93 eV/atom
total magnetization: 0.000 μB/atom
crystal system: monoclinic



Entry from Alexandria: a relaxed SiBC2 crystal (PBE).

Unit cell a=5.395 b=2.713 c=5.308 alpha=90.00 beta=93.75 gamma=90.00
Space group Cm (No. 8)
One atom of each set of equivalent atoms:
Si 0.000 0.000 0.000 (multiplicity 2)
B 0.380 0.500 0.590 (multiplicity 2)
C 0.047 0.000 0.348 (multiplicity 2)
C 0.234 0.000 0.538 (multiplicity 2)

Output
VASP energy: -6.83 eV/atom
ΔE_f (raw): 0.80 eV/atom
total magnetization: 0.000 μB/atom
crystal system: monoclinic



Entry from Alexandria: a relaxed Dy2YZrAs4 crystal (PBE).

Unit cell a=7.009 b=4.045 c=7.010 alpha=90.00 beta=109.30 gamma=90.00
Space group P2/m (No. 10)
One atom of each set of equivalent atoms:
Dy 0.000 0.000 0.000 (multiplicity 1)
Dy 0.000 0.500 0.500 (multiplicity 1)
Y 0.500 0.000 0.500 (multiplicity 1)
Zr 0.500 0.500 0.000 (multiplicity 1)
As 0.255 0.500 0.244 (multiplicity 2)
As 0.259 0.000 0.760 (multiplicity 2)

Output
DFT formation energy: -11.48 eV per formula unit
VASP energy: -6.79 eV/atom
total magnetization: 0.000 μB/atom
crystal system: monoclinic



Entry from Alexandria: a relaxed SmDy2Sc5 crystal (PBE).

Unit cell a=6.816 b=6.816 c=9.332 alpha=90.00 beta=90.00 gamma=90.00
Space group I4mm (No. 107)
One atom of each set of equivalent atoms:
Sm 0.000 0.000 0.000 (multiplicity 2)
Dy 0.000 0.500 0.000 (multiplicity 4)
Sc 0.000 0.000 0.499 (multiplicity 2)
Sc 0.250 0.250 0.250 (multiplicity 8)

Output
DFT formation energy: 0.47 eV per formula unit
VASP energy: -5.64 eV/atom
total magnetization: 0.000 μB/atom
crystal system: tetragonal



Entry from Alexandria: a relaxed Co2PbW crystal (PBE).

Unit cell a=3.1147 b=3.1147 c=23.6894 alpha=90.00 beta=90.00 gamma=120.00
Space group R-3m (No. 166, hexagonal axes)
One atom of each set of equivalent atoms:
Co 0.0000 0.0000 0.2360 (multiplicity 6)
Pb 0.0000 0.0000 0.0000 (multiplicity 3)
W 0.0000 0.0000 0.5000 (multiplicity 3)

Output
DFT formation energy: 2.10 eV per formula unit
VASP energy: -7.19 eV/atom
total magnetization: 0.000 μB/atom
crystal system: trigonal



Entry from Alexandria: a relaxed LiV2MoRh crystal (PBE).

Unit cell a=4.580 b=4.580 c=4.782 alpha=90.00 beta=90.00 gamma=90.00
Space group P4/mmm (No. 123)
One atom of each set of equivalent atoms:
Li 0.000 0.000 0.000 (multiplicity 1)
V 0.000 0.500 0.500 (multiplicity 2)
Mo 0.500 0.500 0.000 (multiplicity 1)
Rh 0.500 0.500 0.500 (multiplicity 1)

Output
DFT formation energy: 6.21 eV per formula unit
VASP energy: -6.42 eV/atom
total magnetization: 0.000 μB/atom
crystal system: tetragonal



Entry from Alexandria: a relaxed Dy3YRh crystal (PBE).

Unit cell a=7.548 b=6.515 c=6.148 alpha=90.00 beta=90.00 gamma=90.00
Space group Pmn2_1 (No. 31)
One atom of each set of equivalent atoms:
Dy 0.000 0.150 0.000 (multiplicity 2)
Dy 0.250 0.314 0.507 (multiplicity 4)
Y 0.000 0.850 0.515 (multiplicity 2)
Rh 0.000 0.498 0.255 (multiplicity 2)

Output
DFT formation energy: -1.47 eV per formula unit
VASP energy: -5.82 eV/atom
total magnetization: 0.000 μB/atom
crystal system: orthorhombic



Entry from Alexandria: a relaxed Er2Be3CdPt4 crystal (PBE).

Unit cell a=3.991 b=3.991 c=10.464 alpha=90.00 beta=90.00 gamma=90.00
Space group P-4m2 (No. 115)
One atom of each set of equivalent atoms:
Er 0.000 0.500 0.231 (multiplicity 2)
Be 0.000 0.500 0.887 (multiplicity 2)
Be 0.500 0.500 0.500 (multiplicity 1)
Cd 0.000 0.000 0.500 (multiplicity 1)
Pt 0.000 0.000 0.000 (multiplicity 1)
Pt 0.000 0.500 0.671 (multiplicity 2)
Pt 0.500 0.500 0.000 (multiplicity 1)

Output
DFT formation energy: -8.15 eV per formula unit
VASP energy: -5.35 eV/atom
total magnetization: 0.000 μB/atom
crystal system: tetragonal



Entry from Alexandria: a relaxed Li2Ag4Sb crystal (PBE).

Unit cell a=7.003 b=7.003 c=5.390 alpha=90.00 beta=90.00 gamma=90.00
Space group I4/mmm (No. 139)
One atom of each set of equivalent atoms:
Li 0.000 0.500 0.250 (multiplicity 4)
Ag 0.203 0.203 0.000 (multiplicity 8)
Sb 0.000 0.000 0.500 (multiplicity 2)

Output
VASP energy: -2.77 eV/atom
ΔE_f (raw): 0.00 eV/atom
total magnetization: 0.000 μB/atom
crystal system: tetragonal



Entry from Alexandria: a relaxed TeSO2F crystal (PBE).

Unit cell a=4.150 b=4.150 c=4.466 alpha=90.00 beta=90.00 gamma=90.00
Space group P4/mmm (No. 123)
One atom of each set of equivalent atoms:
Te 0.000 0.000 0.000 (multiplicity 1)
S 0.500 0.500 0.500 (multiplicity 1)
O 0.000 0.500 0.000 (multiplicity 2)
F 0.000 0.000 0.500 (multiplicity 1)

Output
VASP energy: -4.02 eV/atom
ΔE_f (raw): -0.21 eV/atom
total magnetization: 0.527 μB/atom
crystal system: tetragonal



Entry from Alexandria: a relaxed Ag3SbP crystal (PBE).

Unit cell a=4.839 b=4.839 c=4.839 alpha=90.00 beta=90.00 gamma=90.00
Space group Pm-3m (No. 221)
One atom of each set of equivalent atoms:
Ag 0.000 0.000 0.500 (multiplicity 3)
Sb 0.500 0.500 0.500 (multiplicity 1)
P 0.000 0.000 0.000 (multiplicity 1)

Output
VASP energy: -3.21 eV/atom
ΔE_f (raw): 0.41 eV/atom
total magnetization: 0.001 μB/atom
crystal system: cubic



Entry from Alexandria: a relaxed CsPm2Be2O6 crystal (PBE).

Unit cell a=11.050 b=6.287 c=6.354 alpha=90.00 beta=119.68 gamma=90.00
Space group C2/m (No. 12)
One atom of each set of equivalent atoms:
Cs 0.000 0.000 0.000 (multiplicity 2)
Pm 0.176 0.500 0.302 (multiplicity 4)
Be 0.148 0.500 0.734 (multiplicity 4)
O 0.067 0.500 0.872 (multiplicity 4)
O 0.196 0.299 0.654 (multiplicity 8)

Output
VASP energy: -6.87 eV/atom
ΔE_f (raw): -2.54 eV/atom
total magnetization: 0.096 μB/atom
crystal system: monoclinic